This record from Alexandria via LeMat-Bulk describes an optimized crystal structure of TlCrS2Cl. The functional is PBE.

CIF file:
```
data_TlCrS2Cl
_chemical_formula_sum 'Tl1 Cr1 S2 Cl1'
_cell_length_a 4.6323
_cell_length_b 4.6323
_cell_length_c 5.1295
_cell_angle_alpha 90.00
_cell_angle_beta 90.00
_cell_angle_gamma 90.00
_symmetry_space_group_name_H-M 'P 1'
_symmetry_Int_Tables_number 1
loop_
_symmetry_equiv_pos_as_xyz
'x,y,z'
loop_
_atom_site_label
_atom_site_fract_x
_atom_site_fract_y
_atom_site_fract_z
_atom_site_occupancy
Tl1 0.0000 0.0000 0.0000 1
Cr1 0.5000 0.5000 0.5000 1
S1 0.0000 0.5000 0.5000 1
S2 0.5000 0.0000 0.5000 1
Cl1 0.5000 0.5000 0.0000 1
```

The calculation puts the density of states at the Fermi level at 3.9 states/eV/f.u. The total moment comes out at 2.196 μB/f.u. As for the uncorrected formation energy: -0.397 eV/atom.